1.
Density functional theory data (PBE-GGA) for a relaxed structure of YHfCu.

Calculated values
Energy above the lowest structure with this stoichiometry = 0.096 eV/atom
Electronic total energy = -6.858 eV/atom

Cell lengths 5.1565, 9.2002, 10.8212 Å; angles 90.00, 90.00, 90.00 degrees
Space group Fmmm (No. 69)
Asymmetric unit:
Y (0.0000, 0.0000, 0.1433) (multiplicity 8)
Hf (0.0000, 0.1683, 0.5000) (multiplicity 8)
Cu (0.2500, 0.2500, 0.2500) (multiplicity 8)

---

2.
Density functional theory data (PBE-GGA) for a relaxed structure of YHfCu.

Calculated values
Energy above the lowest structure with this stoichiometry = 0.327 eV/atom
Electronic total energy = -6.627 eV/atom

Cell lengths 4.3590, 4.3590, 6.9391 Å; angles 90.00, 90.00, 90.00 degrees
Space group P4/nmm (No. 129, origin choice 2)
Asymmetric unit:
Y (0.2500, 0.7500, 0.0000) (multiplicity 2)
Hf (0.2500, 0.2500, 0.3794) (multiplicity 2)
Cu (0.2500, 0.2500, 0.7304) (multiplicity 2)

---

3.
Density functional theory data (PBE-GGA) for a relaxed structure of YHfCu.

Calculated values
Energy above the lowest structure with this stoichiometry = 0.043 eV/atom
Electronic total energy = -6.912 eV/atom

Cell lengths 7.2930, 4.5406, 7.9309 Å; angles 90.00, 90.00, 90.00 degrees
Space group Pnma (No. 62)
Asymmetric unit:
Y (0.0273, 0.2500, 0.1687) (multiplicity 4)
Hf (0.1366, 0.2500, 0.5742) (multiplicity 4)
Cu (0.2207, 0.7500, 0.3867) (multiplicity 4)

---

4.
Density functional theory data (PBE-GGA) for a relaxed structure of YHfCu.

Calculated values
Energy above the lowest structure with this stoichiometry = 1.017 eV/atom
Electronic total energy = -5.938 eV/atom

Cell lengths 6.5214, 6.5214, 6.5214 Å; angles 90.00, 90.00, 90.00 degrees
Space group F-43m (No. 216)
Asymmetric unit:
Y (0.0000, 0.0000, 0.0000) (multiplicity 4)
Hf (0.2500, 0.2500, 0.7500) (multiplicity 4)
Cu (0.0000, 0.0000, 0.5000) (multiplicity 4)

---

5.
Density functional theory data (PBE-GGA) for a relaxed structure of YHfCu.

Calculated values
Energy above the lowest structure with this stoichiometry = 0.069 eV/atom
Electronic total energy = -6.886 eV/atom

Cell lengths 4.7341, 3.3006, 8.2731 Å; angles 90.00, 90.03, 90.00 degrees
Space group Pm (No. 6)
Asymmetric unit:
Y (0.0000, 0.0000, 0.0000) (multiplicity 1)
Y (0.4994, 0.0000, 0.3672) (multiplicity 1)
Hf (0.0001, 0.5000, 0.6144) (multiplicity 1)
Hf (0.5002, 0.0000, 0.7500) (multiplicity 1)
Cu (0.4995, 0.5000, 0.0613) (multiplicity 1)
Cu (0.9986, 0.5000, 0.2804) (multiplicity 1)

---

6.
Density functional theory data (PBE-GGA) for a relaxed structure of YHfCu.

Calculated values
Energy above the lowest structure with this stoichiometry = 0.065 eV/atom
Electronic total energy = -6.890 eV/atom

Cell lengths 3.3363, 3.3363, 11.6361 Å; angles 90.00, 90.00, 90.00 degrees
Space group I4mm (No. 107)
Asymmetric unit:
Y (0.0000, 0.0000, 0.0000) (multiplicity 2)
Hf (0.0000, 0.0000, 0.3008) (multiplicity 2)
Cu (0.0000, 0.0000, 0.6793) (multiplicity 2)

---

7.
Density functional theory data (PBE-GGA) for a relaxed structure of YHfCu.

Calculated values
Energy above the lowest structure with this stoichiometry = 0.162 eV/atom
Electronic total energy = -6.792 eV/atom

Cell lengths 9.4232, 6.8497, 4.7415 Å; angles 90.00, 120.20, 90.00 degrees
Space group C2 (No. 5)
Asymmetric unit:
Y (0.1776, 0.0000, 0.4274) (multiplicity 4)
Hf (0.1049, 0.6766, 0.8547) (multiplicity 4)
Cu (0.0780, 0.2960, 0.8277) (multiplicity 4)

---

8.
Density functional theory data (PBE-GGA) for a relaxed structure of YHfCu3.

Calculated values
Energy above the lowest structure with this stoichiometry = 0.000 eV/atom
Electronic total energy = -5.122 eV/atom

Cell lengths 4.8046, 4.8046, 4.8046 Å; angles 90.00, 90.00, 90.00 degrees
Space group Pm-3m (No. 221)
Asymmetric unit:
Y (0.0000, 0.0000, 0.0000) (multiplicity 1)
Hf (0.5000, 0.5000, 0.5000) (multiplicity 1)
Cu (0.0000, 0.5000, 0.5000) (multiplicity 3)

---

9.
Density functional theory data (PBE-GGA) for a relaxed structure of YHfCu.

Calculated values
Energy above the lowest structure with this stoichiometry = 0.189 eV/atom
Electronic total energy = -6.765 eV/atom

Cell lengths 15.7204, 4.5401, 7.7372 Å; angles 90.00, 93.75, 90.00 degrees
Space group C2/m (No. 12)
Asymmetric unit:
Y (0.0481, 0.0000, 0.3305) (multiplicity 4)
Y (0.0894, 0.5000, 0.8573) (multiplicity 4)
Hf (0.2072, 0.0000, 0.0813) (multiplicity 4)
Hf (0.2101, 0.0000, 0.6596) (multiplicity 4)
Cu (0.1328, 0.5000, 0.2000) (multiplicity 4)
Cu (0.1364, 0.5000, 0.5189) (multiplicity 4)

---

10.
Density functional theory data (PBE-GGA) for a relaxed structure of YHf2Cu6.

Calculated values
Electronic total energy = -5.798 eV/atom

Cell lengths 7.3971, 7.3971, 3.0585 Å; angles 90.00, 90.00, 120.00 degrees
Space group P6/mmm (No. 191)
Asymmetric unit:
Y (0.0000, 0.0000, 0.0000) (multiplicity 1)
Hf (0.3333, 0.6667, 0.0000) (multiplicity 2)
Cu (0.0000, 0.3378, 0.5000) (multiplicity 6)

---

11.
Density functional theory data (PBE-GGA) for a relaxed structure of YHf2Cu9.

Calculated values
Electronic total energy = -5.412 eV/atom

Cell lengths 5.0597, 5.0597, 24.2964 Å; angles 90.00, 90.00, 120.00 degrees
Space group R-3m (No. 166, hexagonal axes)
Asymmetric unit:
Y (0.0000, 0.0000, 0.0000) (multiplicity 3)
Hf (0.0000, 0.0000, 0.1492) (multiplicity 6)
Cu (0.0000, 0.0000, 0.3327) (multiplicity 6)
Cu (0.0000, 0.0000, 0.5000) (multiplicity 3)
Cu (0.0019, 0.5010, 0.9151) (multiplicity 18)

---

12.
Density functional theory data (PBE-GGA) for a relaxed structure of YHfCu.

Calculated values
Energy above the lowest structure with this stoichiometry = 1.821 eV/atom
Electronic total energy = -5.133 eV/atom

Cell lengths 4.3192, 4.3192, 11.6508 Å; angles 90.00, 90.00, 120.00 degrees
Space group P6_3/mmc (No. 194)
Asymmetric unit:
Y (0.0000, 0.0000, 0.2500) (multiplicity 2)
Hf (0.0000, 0.0000, 0.0000) (multiplicity 2)
Cu (0.3333, 0.6667, 0.2500) (multiplicity 2)

---

13.
Density functional theory data (PBE-GGA) for a relaxed structure of YHfCu.

Calculated values
Energy above the lowest structure with this stoichiometry = 0.091 eV/atom
Electronic total energy = -6.863 eV/atom

Cell lengths 5.8592, 7.5892, 5.8550 Å; angles 90.00, 90.00, 90.00 degrees
Space group Ima2 (No. 46)
Asymmetric unit:
Y (0.2500, 0.1388, 0.0000) (multiplicity 4)
Hf (0.2500, 0.7039, 0.1886) (multiplicity 4)
Cu (0.0000, 0.0000, 0.4148) (multiplicity 4)

---

14.
Density functional theory data (PBE-GGA) for a relaxed structure of YHfCu.

Calculated values
Energy above the lowest structure with this stoichiometry = 0.236 eV/atom
Electronic total energy = -6.719 eV/atom

Cell lengths 4.6825, 8.1333, 6.8290 Å; angles 90.00, 90.00, 90.00 degrees
Space group Cmcm (No. 63)
Asymmetric unit:
Y (0.0000, 0.0000, 0.0000) (multiplicity 4)
Hf (0.0000, 0.3332, 0.2500) (multiplicity 4)
Cu (0.0000, 0.3337, 0.7500) (multiplicity 4)

---

15.
Density functional theory data (PBE-GGA) for a relaxed structure of YHfCu4.

Calculated values
Electronic total energy = -5.536 eV/atom

Cell lengths 7.2765, 7.2765, 7.2765 Å; angles 90.00, 90.00, 90.00 degrees
Space group F-43m (No. 216)
Asymmetric unit:
Y (0.0000, 0.0000, 0.0000) (multiplicity 4)
Hf (0.2500, 0.2500, 0.2500) (multiplicity 4)
Cu (0.1243, 0.1243, 0.6243) (multiplicity 16)

---

16.
Density functional theory data (PBE-GGA) for a relaxed structure of YHfCu.

Calculated values
Energy above the lowest structure with this stoichiometry = 0.035 eV/atom
Electronic total energy = -6.920 eV/atom

Cell lengths 10.6756, 3.4162, 8.4261 Å; angles 90.00, 121.88, 90.00 degrees
Space group C2/m (No. 12)
Asymmetric unit:
Y (0.0710, 0.0000, 0.3325) (multiplicity 4)
Hf (0.1596, 0.5000, 0.0552) (multiplicity 4)
Cu (0.1447, 0.5000, 0.6649) (multiplicity 4)

---

17.
Density functional theory data (PBE-GGA) for a relaxed structure of YHfCu.

Calculated values
Energy above the lowest structure with this stoichiometry = 0.119 eV/atom
Electronic total energy = -6.836 eV/atom

Cell lengths 14.9888, 3.3506, 5.1497 Å; angles 90.00, 90.31, 90.00 degrees
Space group Cm (No. 8)
Asymmetric unit:
Y (0.0000, 0.0000, 0.0000) (multiplicity 2)
Y (0.2045, 0.5000, 0.0149) (multiplicity 2)
Hf (0.1489, 0.0000, 0.5093) (multiplicity 2)
Hf (0.3370, 0.5000, 0.5420) (multiplicity 2)
Cu (0.3531, 0.0000, 0.1314) (multiplicity 2)
Cu (0.4933, 0.0000, 0.4808) (multiplicity 2)

---

18.
Density functional theory data (PBE-GGA) for a relaxed structure of YHfCu2.

Calculated values
Energy above the lowest structure with this stoichiometry = 0.468 eV/atom
Electronic total energy = -5.838 eV/atom

Cell lengths 7.1398, 7.1398, 6.7479 Å; angles 90.00, 90.00, 90.00 degrees
Space group I-42d (No. 122)
Asymmetric unit:
Y (0.0000, 0.0000, 0.0000) (multiplicity 4)
Hf (0.0000, 0.0000, 0.5000) (multiplicity 4)
Cu (0.2252, 0.7500, 0.6250) (multiplicity 8)

---

19.
Density functional theory data (PBE-GGA) for a relaxed structure of YHfCu.

Calculated values
Energy above the lowest structure with this stoichiometry = 0.119 eV/atom
Electronic total energy = -6.835 eV/atom

Cell lengths 4.7910, 5.8471, 5.9148 Å; angles 118.54, 113.84, 90.08 degrees
Space group P-1 (No. 2)
Asymmetric unit:
Y (0.1704, 0.0722, 0.3410) (multiplicity 2)
Hf (0.4404, 0.6932, 0.8814) (multiplicity 2)
Cu (0.1302, 0.5472, 0.2596) (multiplicity 2)

---

20.
Density functional theory data (PBE-GGA) for a relaxed structure of YHfCu.

Calculated values
Energy above the lowest structure with this stoichiometry = 0.699 eV/atom
Electronic total energy = -6.256 eV/atom

Cell lengths 4.9918, 4.9918, 5.8056 Å; angles 90.00, 90.00, 120.00 degrees
Space group P6_3/mmc (No. 194)
Asymmetric unit:
Y (0.3333, 0.6667, 0.2500) (multiplicity 2)
Hf (0.3333, 0.6667, 0.7500) (multiplicity 2)
Cu (0.0000, 0.0000, 0.0000) (multiplicity 2)

---

21.
Density functional theory data (PBE-GGA) for a relaxed structure of YHfCu.

Calculated values
Energy above the lowest structure with this stoichiometry = 0.000 eV/atom
Electronic total energy = -6.955 eV/atom

Cell lengths 3.3859, 4.9680, 7.8908 Å; angles 90.00, 102.43, 90.00 degrees
Space group P2_1/m (No. 11)
Asymmetric unit:
Y (0.0805, 0.2500, 0.1625) (multiplicity 2)
Hf (0.2264, 0.7500, 0.4527) (multiplicity 2)
Cu (0.4114, 0.2500, 0.8225) (multiplicity 2)

---

22.
Density functional theory data (PBE-GGA) for a relaxed structure of YHfCu2.

Calculated values
Energy above the lowest structure with this stoichiometry = 0.057 eV/atom
Electronic total energy = -6.249 eV/atom

Cell lengths 4.7759, 4.7759, 3.3028 Å; angles 90.00, 90.00, 90.00 degrees
Space group P4/mmm (No. 123)
Asymmetric unit:
Y (0.0000, 0.0000, 0.0000) (multiplicity 1)
Hf (0.5000, 0.5000, 0.0000) (multiplicity 1)
Cu (0.0000, 0.5000, 0.5000) (multiplicity 2)

---

23.
Density functional theory data (PBE-GGA) for a relaxed structure of YHfCu2.

Calculated values
Energy above the lowest structure with this stoichiometry = 0.000 eV/atom
Electronic total energy = -6.306 eV/atom

Cell lengths 3.3642, 3.3642, 6.7328 Å; angles 90.00, 90.00, 90.00 degrees
Space group P4/mmm (No. 123)
Asymmetric unit:
Y (0.0000, 0.0000, 0.0000) (multiplicity 1)
Hf (0.0000, 0.0000, 0.5000) (multiplicity 1)
Cu (0.5000, 0.5000, 0.2926) (multiplicity 2)

---

24.
Density functional theory data (PBE-GGA) for a relaxed structure of YHf2Cu2.

Calculated values
Energy above the lowest structure with this stoichiometry = 0.025 eV/atom
Electronic total energy = -6.894 eV/atom

Cell lengths 4.3695, 4.3695, 10.9277 Å; angles 90.00, 90.00, 90.00 degrees
Space group I4/mmm (No. 139)
Asymmetric unit:
Y (0.0000, 0.0000, 0.0000) (multiplicity 2)
Hf (0.0000, 0.5000, 0.2500) (multiplicity 4)
Cu (0.0000, 0.0000, 0.3934) (multiplicity 4)

---

25.
Density functional theory data (PBE-GGA) for a relaxed structure of Y2HfCu2.

Calculated values
Electronic total energy = -6.266 eV/atom

Cell lengths 7.7841, 7.7841, 3.5726 Å; angles 90.00, 90.00, 90.00 degrees
Space group P4/mbm (No. 127)
Asymmetric unit:
Y (0.1704, 0.3296, 0.0000) (multiplicity 4)
Hf (0.0000, 0.0000, 0.5000) (multiplicity 2)
Cu (0.1253, 0.6253, 0.5000) (multiplicity 4)

---

26.
Density functional theory data (PBE-GGA) for a relaxed structure of YHf2Cu2.

Calculated values
Energy above the lowest structure with this stoichiometry = 0.105 eV/atom
Electronic total energy = -6.815 eV/atom

Cell lengths 8.1357, 8.1357, 2.9348 Å; angles 90.00, 90.00, 90.00 degrees
Space group P4/mbm (No. 127)
Asymmetric unit:
Y (0.0000, 0.0000, 0.0000) (multiplicity 2)
Hf (0.1317, 0.3683, 0.0000) (multiplicity 4)
Cu (0.1673, 0.6673, 0.5000) (multiplicity 4)